A plane-wave DFT calculation with GGA-PBE was carried out for a relaxed structure of Mg5Tl2Bi2.

formation energy: -0.069 eV per formula unit
crystal system: orthorhombic

extended XYZ file:
```
18
Lattice="5.7480 0.0000 -2.0533 -1.3771 8.1916 -3.8551 0.5127 -0.0874 10.5077" Properties=species:S:1:pos:R:3 pbc="T T T"
Mg 4.5950 5.6864 2.6904
Mg 4.4196 1.3445 6.7466
Mg 0.9861 2.4178 1.6599
Mg 1.1583 6.7370 -2.3831
Mg 1.5417 1.3672 7.7626
Mg 3.5673 4.1598 -0.1865
Mg 4.0285 6.7597 -3.4205
Mg 3.5500 1.4082 3.3069
Mg 2.0138 3.9444 4.5368
Mg -0.2129 6.6960 1.8450
Bi 0.2986 4.6234 -0.2402
Bi 3.7448 1.2196 0.3350
Bi 1.8207 6.8846 4.0208
Bi 5.2669 3.4808 4.5960
Tl 2.5635 4.0958 -3.0892
Tl 0.7595 1.1595 4.4356
Tl 2.6610 6.9447 0.6864
Tl 0.3781 0.0000 -0.1350
```